# 1
Crystalline NbTl2CuC at its relaxed geometry, computed with PBE.

Cell and atoms, written as CIF:
```
data_NbTl2CuC
_cell_length_a 5.4765
_cell_length_b 4.7501
_cell_length_c 5.4765
_cell_angle_alpha 90.00
_cell_angle_beta 90.00
_cell_angle_gamma 90.00
_symmetry_space_group_name_H-M 'P 1'
_symmetry_Int_Tables_number 1
loop_
_symmetry_equiv_pos_as_xyz
'x,y,z'
loop_
_atom_site_label
_atom_site_type_symbol
_atom_site_fract_x
_atom_site_fract_y
_atom_site_fract_z
Nb1 Nb 0.0000 0.0000 0.0000
C1 C 0.5000 0.5000 0.5000
Tl1 Tl 0.0000 0.0000 0.5000
Tl2 Tl 0.5000 0.0000 0.0000
Cu1 Cu 0.0000 0.5000 0.0000
```

Magnetic moment   0.716 μB per formula unit
DOS(E_F)   0.75 states/eV/atom
Energy relative to the elements   2.181 eV per atom



# 2
Crystalline Ba3Mg2Hg9 at its relaxed geometry, computed with PBE.

Cell and atoms, written as CIF:
```
data_Ba3Mg2Hg9
_cell_length_a 5.0237
_cell_length_b 9.6026
_cell_length_c 9.6026
_cell_angle_alpha 67.30
_cell_angle_beta 74.84
_cell_angle_gamma 74.84
_symmetry_space_group_name_H-M 'P 1'
_symmetry_Int_Tables_number 1
loop_
_symmetry_equiv_pos_as_xyz
'x,y,z'
loop_
_atom_site_label
_atom_site_type_symbol
_atom_site_fract_x
_atom_site_fract_y
_atom_site_fract_z
Ba1 Ba 0.7122 0.2878 0.2878
Ba2 Ba 0.2878 0.7122 0.7122
Ba3 Ba 0.0000 0.0000 0.0000
Hg1 Hg 0.3480 0.2958 0.0082
Hg2 Hg 0.8672 0.8423 0.4232
Hg3 Hg 0.1328 0.5768 0.1577
Hg4 Hg 0.0000 0.5000 0.5000
Hg5 Hg 0.1328 0.1577 0.5768
Hg6 Hg 0.6520 0.7042 0.9918
Hg7 Hg 0.6520 0.9918 0.7042
Hg8 Hg 0.8672 0.4232 0.8423
Hg9 Hg 0.3480 0.0082 0.2958
Mg1 Mg 0.5000 0.3283 0.6717
Mg2 Mg 0.5000 0.6717 0.3283
```

Magnetic moment   0.000 μB per formula unit
DOS(E_F)   0.52 states/eV/atom
Energy relative to the elements   -0.389 eV per atom



# 3
Crystalline Nb2SnIrW at its relaxed geometry, computed with PBE.

Cell and atoms, written as CIF:
```
data_Nb2SnIrW
_cell_length_a 4.9371
_cell_length_b 4.6743
_cell_length_c 4.9371
_cell_angle_alpha 90.00
_cell_angle_beta 90.00
_cell_angle_gamma 90.00
_symmetry_space_group_name_H-M 'P 1'
_symmetry_Int_Tables_number 1
loop_
_symmetry_equiv_pos_as_xyz
'x,y,z'
loop_
_atom_site_label
_atom_site_type_symbol
_atom_site_fract_x
_atom_site_fract_y
_atom_site_fract_z
Ir1 Ir 0.0000 0.5000 0.0000
W1 W 0.5000 0.5000 0.5000
Nb1 Nb 0.0000 0.0000 0.5000
Nb2 Nb 0.5000 0.0000 0.0000
Sn1 Sn 0.0000 0.0000 0.0000
```

Magnetic moment   0.003 μB per formula unit
DOS(E_F)   1.60 states/eV/atom
Energy relative to the elements   2.094 eV per atom



# 4
Crystalline CsTlCuO3 at its relaxed geometry, computed with PBE.

Cell and atoms, written as CIF:
```
data_CsTlCuO3
_cell_length_a 3.7706
_cell_length_b 7.7662
_cell_length_c 9.3726
_cell_angle_alpha 114.41
_cell_angle_beta 90.00
_cell_angle_gamma 90.00
_symmetry_space_group_name_H-M 'P 1'
_symmetry_Int_Tables_number 1
loop_
_symmetry_equiv_pos_as_xyz
'x,y,z'
loop_
_atom_site_label
_atom_site_type_symbol
_atom_site_fract_x
_atom_site_fract_y
_atom_site_fract_z
Cs1 Cs 0.2500 0.2309 0.2104
Cs2 Cs 0.7500 0.7691 0.7896
Cu1 Cu 0.7500 0.9677 0.3802
Cu2 Cu 0.2500 0.0323 0.6198
Tl1 Tl 0.2500 0.6820 0.1277
Tl2 Tl 0.7500 0.3180 0.8723
O1 O 0.2500 0.1150 0.8434
O2 O 0.7500 0.8850 0.1566
O3 O 0.7500 0.4935 0.1372
O4 O 0.2500 0.9527 0.3947
O5 O 0.2500 0.5065 0.8628
O6 O 0.7500 0.0473 0.6053
```

Magnetic moment   0.000 μB per formula unit
Formation energy without anion corrections   -0.808 eV per atom
DOS(E_F)   0.15 states/eV/atom



# 5
Crystalline CrInSe at its relaxed geometry, computed with PBE.

Cell and atoms, written as CIF:
```
data_CrInSe
_cell_length_a 4.3074
_cell_length_b 4.3074
_cell_length_c 4.7670
_cell_angle_alpha 90.00
_cell_angle_beta 90.00
_cell_angle_gamma 120.00
_symmetry_space_group_name_H-M 'P 1'
_symmetry_Int_Tables_number 1
loop_
_symmetry_equiv_pos_as_xyz
'x,y,z'
loop_
_atom_site_label
_atom_site_type_symbol
_atom_site_fract_x
_atom_site_fract_y
_atom_site_fract_z
In1 In 0.6667 0.3333 0.3333
Cr1 Cr 0.0000 0.0000 0.8334
Se1 Se 0.3333 0.6667 0.8333
```

Magnetic moment   4.348 μB per formula unit
Formation energy without anion corrections   0.067 eV per atom
DOS(E_F)   0.47 states/eV/atom



# 6
Crystalline K2Np2ScSe6 at its relaxed geometry, computed with PBE.

Cell and atoms, written as CIF:
```
data_K2Np2ScSe6
_cell_length_a 7.0999
_cell_length_b 7.0999
_cell_length_c 8.1863
_cell_angle_alpha 98.40
_cell_angle_beta 98.40
_cell_angle_gamma 119.75
_symmetry_space_group_name_H-M 'P 1'
_symmetry_Int_Tables_number 1
loop_
_symmetry_equiv_pos_as_xyz
'x,y,z'
loop_
_atom_site_label
_atom_site_type_symbol
_atom_site_fract_x
_atom_site_fract_y
_atom_site_fract_z
Se1 Se 0.2552 0.2552 0.3034
Se2 Se 0.6100 0.9334 0.3028
Se3 Se 0.9334 0.6100 0.3028
Se4 Se 0.7448 0.7448 0.6966
Se5 Se 0.3900 0.0666 0.6972
Se6 Se 0.0666 0.3900 0.6972
Np1 Np 0.6665 0.3335 0.5000
Np2 Np 0.3335 0.6665 0.5000
Sc1 Sc 0.0000 0.0000 0.5000
K1 K 0.8319 0.1681 0.0000
K2 K 0.1681 0.8319 0.0000
```

Magnetic moment   7.000 μB per formula unit
Formation energy without anion corrections   -1.361 eV per atom
DOS(E_F)   1.80 states/eV/atom



# 7
Crystalline LiSb2Pb2 at its relaxed geometry, computed with PBE.

Cell and atoms, written as CIF:
```
data_LiSb2Pb2
_cell_length_a 7.3257
_cell_length_b 7.3257
_cell_length_c 5.3857
_cell_angle_alpha 90.00
_cell_angle_beta 90.00
_cell_angle_gamma 90.00
_symmetry_space_group_name_H-M 'P 1'
_symmetry_Int_Tables_number 1
loop_
_symmetry_equiv_pos_as_xyz
'x,y,z'
loop_
_atom_site_label
_atom_site_type_symbol
_atom_site_fract_x
_atom_site_fract_y
_atom_site_fract_z
Pb1 Pb 0.3145 0.1855 0.5000
Pb2 Pb 0.1855 0.6855 0.5000
Pb3 Pb 0.8145 0.3145 0.5000
Pb4 Pb 0.6855 0.8145 0.5000
Li1 Li 0.5000 0.5000 0.0000
Li2 Li 0.0000 0.0000 0.0000
Sb1 Sb 0.3625 0.8625 0.0000
Sb2 Sb 0.8625 0.6375 0.0000
Sb3 Sb 0.6375 0.1375 0.0000
Sb4 Sb 0.1375 0.3625 0.0000
```

Magnetic moment   0.000 μB per formula unit
Formation energy without anion corrections   -0.079 eV per atom
DOS(E_F)   0.40 states/eV/atom



# 8
Crystalline MnCr2TeRu at its relaxed geometry, computed with PBE.

Cell and atoms, written as CIF:
```
data_MnCr2TeRu
_cell_length_a 4.9408
_cell_length_b 4.8864
_cell_length_c 4.9408
_cell_angle_alpha 90.00
_cell_angle_beta 90.00
_cell_angle_gamma 90.00
_symmetry_space_group_name_H-M 'P 1'
_symmetry_Int_Tables_number 1
loop_
_symmetry_equiv_pos_as_xyz
'x,y,z'
loop_
_atom_site_label
_atom_site_type_symbol
_atom_site_fract_x
_atom_site_fract_y
_atom_site_fract_z
Mn1 Mn 0.5000 0.5000 0.5000
Ru1 Ru 0.0000 0.5000 0.0000
Cr1 Cr 0.0000 0.0000 0.5000
Cr2 Cr 0.5000 0.0000 0.0000
Te1 Te 0.0000 0.0000 0.0000
```

Magnetic moment   11.788 μB per formula unit
Formation energy without anion corrections   1.480 eV per atom
DOS(E_F)   1.10 states/eV/atom



# 9
Crystalline Sm5Hg2C at its relaxed geometry, computed with PBE.

Cell and atoms, written as CIF:
```
data_Sm5Hg2C
_cell_length_a 5.2403
_cell_length_b 8.3396
_cell_length_c 12.3904
_cell_angle_alpha 90.00
_cell_angle_beta 90.00
_cell_angle_gamma 108.31
_symmetry_space_group_name_H-M 'P 1'
_symmetry_Int_Tables_number 1
loop_
_symmetry_equiv_pos_as_xyz
'x,y,z'
loop_
_atom_site_label
_atom_site_type_symbol
_atom_site_fract_x
_atom_site_fract_y
_atom_site_fract_z
Sm1 Sm 0.6904 0.3808 0.2500
Sm2 Sm 0.7024 0.4047 0.5947
Sm3 Sm 0.3096 0.6192 0.7500
Sm4 Sm 0.9197 0.8394 0.6057
Sm5 Sm 0.7024 0.4047 0.9053
Sm6 Sm 0.0803 0.1606 0.3943
Sm7 Sm 0.0803 0.1606 0.1057
Sm8 Sm 0.9197 0.8394 0.8943
Sm9 Sm 0.2976 0.5953 0.0947
Sm10 Sm 0.2976 0.5953 0.4053
Hg1 Hg 0.1132 0.2263 0.6375
Hg2 Hg 0.8868 0.7737 0.1375
Hg3 Hg 0.8868 0.7737 0.3625
Hg4 Hg 0.1132 0.2263 0.8625
C1 C 0.8172 0.6345 0.7500
C2 C 0.1828 0.3655 0.2500
```

Magnetic moment   0.000 μB per formula unit
DOS(E_F)   0.98 states/eV/atom
Energy relative to the elements   -0.006 eV per atom



# 10
Crystalline VGe2PPd at its relaxed geometry, computed with PBE.

Cell and atoms, written as CIF:
```
data_VGe2PPd
_cell_length_a 4.6966
_cell_length_b 4.6917
_cell_length_c 4.6966
_cell_angle_alpha 90.00
_cell_angle_beta 90.00
_cell_angle_gamma 90.00
_symmetry_space_group_name_H-M 'P 1'
_symmetry_Int_Tables_number 1
loop_
_symmetry_equiv_pos_as_xyz
'x,y,z'
loop_
_atom_site_label
_atom_site_type_symbol
_atom_site_fract_x
_atom_site_fract_y
_atom_site_fract_z
P1 P 0.5000 0.5000 0.5000
Pd1 Pd 0.0000 0.5000 0.0000
Ge1 Ge 0.5000 0.0000 0.0000
Ge2 Ge 0.0000 0.0000 0.5000
V1 V 0.0000 0.0000 0.0000
```

Magnetic moment   0.002 μB per formula unit
DOS(E_F)   0.97 states/eV/atom
Energy relative to the elements   0.846 eV per atom